Record 1
The following is a DFT calculation (PBE) of a geometry-optimized PmH8Pd6 structure.

Cell: 5.352 5.352 5.352 Å, 98.70 98.70 98.70°
Atoms (fractional coordinates):
Pm (0.000, 0.000, 0.000)
H (0.197, 0.374, 0.795)
H (0.205, 0.803, 0.626)
H (0.316, 0.316, 0.316)
H (0.374, 0.795, 0.197)
H (0.626, 0.205, 0.803)
H (0.684, 0.684, 0.684)
H (0.795, 0.197, 0.374)
H (0.803, 0.626, 0.205)
Pd (0.130, 0.582, 0.303)
Pd (0.303, 0.130, 0.582)
Pd (0.418, 0.697, 0.870)
Pd (0.582, 0.303, 0.130)
Pd (0.697, 0.870, 0.418)
Pd (0.870, 0.418, 0.697)

Results
Symmetry: R-3, No. 148
Energy: -66.3 eV per cell


Record 2
The following is a DFT calculation (PBE) of a geometry-optimized Pm6HPd2 structure.

Cell: 6.590 7.168 12.024 Å, 90.00 122.93 90.00°
Atoms (fractional coordinates):
Pm (0.107, 0.026, 0.251)
Pm (0.107, 0.474, 0.751)
Pm (0.226, 0.678, 0.059)
Pm (0.226, 0.822, 0.559)
Pm (0.391, 0.180, 0.061)
Pm (0.391, 0.320, 0.561)
Pm (0.609, 0.680, 0.439)
Pm (0.609, 0.820, 0.939)
Pm (0.774, 0.178, 0.441)
Pm (0.774, 0.322, 0.941)
Pm (0.893, 0.526, 0.249)
Pm (0.893, 0.974, 0.749)
H (0.500, 0.000, 0.500)
H (0.500, 0.500, 0.000)
Pd (0.326, 0.116, 0.752)
Pd (0.326, 0.384, 0.252)
Pd (0.674, 0.616, 0.748)
Pd (0.674, 0.884, 0.248)

Results
Symmetry: P2_1/c, No. 14
Energy: -92.5 eV per cell


Record 3
The following is a DFT calculation (PBE) of a geometry-optimized Pm2HPd structure.

Cell: 3.368 3.368 7.125 Å, 90.00 90.00 90.00°
Atoms (fractional coordinates):
Pm (0.000, 0.000, 0.235)
Pm (0.000, 0.000, 0.765)
H (0.500, 0.500, 0.000)
Pd (0.500, 0.500, 0.500)

Results
Symmetry: P4/mmm, No. 123
Energy: -19.1 eV per cell


Record 4
The following is a DFT calculation (PBE) of a geometry-optimized Pm2H7Pd2 structure.

Cell: 5.951 5.951 3.691 Å, 101.43 101.43 101.31°
Atoms (fractional coordinates):
Pm (0.248, 0.752, 0.000)
Pm (0.752, 0.248, 0.000)
H (0.000, 0.000, 0.500)
H (0.147, 0.484, 0.357)
H (0.433, 0.433, 0.903)
H (0.484, 0.147, 0.357)
H (0.516, 0.853, 0.643)
H (0.567, 0.567, 0.097)
H (0.853, 0.516, 0.643)
Pd (0.230, 0.230, 0.482)
Pd (0.770, 0.770, 0.518)

Results
Symmetry: C2/m, No. 12
Energy: -47.2 eV per cell


Record 5
The following is a DFT calculation (PBE) of a geometry-optimized Pm8HPd5 structure.

Cell: 7.732 7.732 7.732 Å, 111.07 111.07 106.31°
Atoms (fractional coordinates):
Pm (0.287, 0.518, 0.625)
Pm (0.338, 0.713, 0.231)
Pm (0.411, 0.249, 0.251)
Pm (0.482, 0.106, 0.769)
Pm (0.751, 0.002, 0.162)
Pm (0.840, 0.589, 0.838)
Pm (0.894, 0.662, 0.375)
Pm (0.998, 0.160, 0.749)
H (0.750, 0.250, 0.500)
Pd (0.146, 0.012, 0.360)
Pd (0.214, 0.854, 0.867)
Pd (0.500, 0.500, 0.000)
Pd (0.652, 0.786, 0.640)
Pd (0.988, 0.348, 0.133)

Results
Symmetry: I-4, No. 82
Energy: -75.1 eV per cell


Record 6
The following is a DFT calculation (PBE) of a geometry-optimized Pm2H4Pd structure.

Cell: 7.204 7.204 7.204 Å, 150.98 150.98 41.51°
Atoms (fractional coordinates):
Pm (0.152, 0.152, 0.000)
Pm (0.848, 0.848, 0.000)
H (0.000, 0.500, 0.500)
H (0.327, 0.327, 0.000)
H (0.500, 0.000, 0.500)
H (0.673, 0.673, 0.000)
Pd (0.500, 0.500, 0.000)

Results
Symmetry: I4/mmm, No. 139
Energy: -31.3 eV per cell


Record 7
The following is a DFT calculation (PBE) of a geometry-optimized Pm2H6PdPt structure.

Cell: 9.695 9.695 9.695 Å, 31.55 31.55 31.55°
Atoms (fractional coordinates):
Pm (0.126, 0.126, 0.126)
Pm (0.288, 0.288, 0.288)
Pm (0.712, 0.712, 0.712)
Pm (0.874, 0.874, 0.874)
H (0.118, 0.632, 0.632)
H (0.200, 0.200, 0.716)
H (0.200, 0.716, 0.200)
H (0.284, 0.800, 0.800)
H (0.368, 0.368, 0.882)
H (0.368, 0.882, 0.368)
H (0.632, 0.118, 0.632)
H (0.632, 0.632, 0.118)
H (0.716, 0.200, 0.200)
H (0.800, 0.284, 0.800)
H (0.800, 0.800, 0.284)
H (0.882, 0.368, 0.368)
Pd (0.404, 0.404, 0.404)
Pd (0.596, 0.596, 0.596)
Pt (0.000, 0.000, 0.000)
Pt (0.500, 0.500, 0.500)

Results
Symmetry: R-3m, No. 166
Energy: -90.4 eV per cell


Record 8
The following is a DFT calculation (PBE) of a geometry-optimized Pm2H6PdPt2 structure.

Cell: 5.813 5.813 6.451 Å, 122.21 122.21 46.93°
Atoms (fractional coordinates):
Pm (0.206, 0.206, 0.210)
Pm (0.794, 0.794, 0.790)
H (0.124, 0.665, 0.204)
H (0.289, 0.289, 0.650)
H (0.335, 0.876, 0.796)
H (0.665, 0.124, 0.204)
H (0.711, 0.711, 0.350)
H (0.876, 0.335, 0.796)
Pd (0.000, 0.000, 0.500)
Pt (0.478, 0.478, 0.759)
Pt (0.522, 0.522, 0.241)

Results
Symmetry: C2/m, No. 12
Energy: -52.8 eV per cell


Record 9
The following is a DFT calculation (PBE) of a geometry-optimized PmH8Pd2Pt structure.

Cell: 6.461 6.461 6.461 Å, 42.68 42.68 42.68°
Atoms (fractional coordinates):
Pm (0.000, 0.000, 0.000)
H (0.163, 0.767, 0.402)
H (0.233, 0.598, 0.837)
H (0.325, 0.325, 0.325)
H (0.402, 0.163, 0.767)
H (0.598, 0.837, 0.233)
H (0.675, 0.675, 0.675)
H (0.767, 0.402, 0.163)
H (0.837, 0.233, 0.598)
Pd (0.232, 0.232, 0.232)
Pd (0.768, 0.768, 0.768)
Pt (0.500, 0.500, 0.500)

Results
Symmetry: R-3, No. 148
Energy: -50.4 eV per cell


Record 10
The following is a DFT calculation (PBE) of a geometry-optimized PmH6PdPt structure.

Cell: 4.796 4.796 4.290 Å, 90.00 90.00 120.00°
Atoms (fractional coordinates):
Pm (0.000, 0.000, 0.000)
H (0.010, 0.505, 0.230)
H (0.010, 0.505, 0.770)
H (0.495, 0.505, 0.230)
H (0.495, 0.505, 0.770)
H (0.495, 0.990, 0.230)
H (0.495, 0.990, 0.770)
Pd (0.667, 0.333, 0.500)
Pt (0.333, 0.667, 0.500)

Results
Symmetry: P-6m2, No. 187
Energy: -39.1 eV per cell


Record 11
The following is a DFT calculation (PBE) of a geometry-optimized PmH6Pd2Pt2 structure.

Cell: 5.280 5.280 5.691 Å, 104.29 104.29 54.06°
Atoms (fractional coordinates):
Pm (0.000, 0.000, 0.000)
H (0.125, 0.589, 0.407)
H (0.411, 0.875, 0.593)
H (0.412, 0.412, 0.930)
H (0.588, 0.588, 0.070)
H (0.589, 0.125, 0.407)
H (0.875, 0.411, 0.593)
Pd (0.299, 0.299, 0.636)
Pd (0.701, 0.701, 0.364)
Pt (0.327, 0.327, 0.159)
Pt (0.673, 0.673, 0.841)

Results
Symmetry: C2/m, No. 12
Energy: -50.3 eV per cell


Record 12
The following is a DFT calculation (PBE) of a geometry-optimized PmH8Pd3Pt2 structure.

Cell: 5.825 5.825 5.825 Å, 59.66 59.66 59.66°
Atoms (fractional coordinates):
Pm (0.000, 0.000, 0.000)
H (0.381, 0.381, 0.381)
H (0.387, 0.387, 0.870)
H (0.387, 0.870, 0.387)
H (0.479, 0.837, 0.837)
H (0.837, 0.479, 0.837)
H (0.837, 0.837, 0.479)
H (0.845, 0.845, 0.845)
H (0.870, 0.387, 0.387)
Pd (0.135, 0.625, 0.625)
Pd (0.625, 0.135, 0.625)
Pd (0.625, 0.625, 0.135)
Pt (0.252, 0.252, 0.252)
Pt (0.625, 0.625, 0.625)

Results
Symmetry: R3m, No. 160
Energy: -61.4 eV per cell